Entry 1:
Here is a relaxed NaTeI2 crystal from Alexandria. Energies are from GGA-PBE.

* total magnetization: 0.044 μB per atom
* calculated total energy: -0.17061 Ry per atom
* calculated density: 4.11 g cm⁻³
* space group: R-3m, No. 166

abc: 4.440 4.440 9.900
angles: 77.04 77.04 60.00
Each line ends with the local moment (μB).
Fractional coordinates of all 4 atoms:
I (0.102, 0.102, 0.693)  0.01
I (0.898, 0.898, 0.307)  0.01
Na (0.500, 0.500, 0.500)  0.00
Te (0.000, 0.000, 0.000)  0.09


Entry 2:
Here is a relaxed NaTe2I2 crystal from Alexandria. Energies are from GGA-PBE.

* total magnetization: 0.000 μB per atom
* calculated total energy: -0.16556 Ry per atom
* calculated density: 3.96 g cm⁻³
* space group: I4/mmm, No. 139

abc: 6.698 6.698 6.868
angles: 60.82 60.82 90.00
Fractional coordinates of all 5 atoms:
I (0.750, 0.250, 0.500)
I (0.250, 0.750, 0.500)
Na (0.000, 0.000, 0.000)
Te (0.372, 0.372, 0.257)
Te (0.628, 0.628, 0.743)


Entry 3:
Here is a relaxed NaTe2I2 crystal from Alexandria. Energies are from GGA-PBE.

* total magnetization: 0.000 μB per atom
* calculated total energy: -0.16929 Ry per atom
* calculated density: 4.78 g cm⁻³
* space group: P4/mbm, No. 127

abc: 8.379 8.379 5.266
angles: 90.00 90.00 90.00
Fractional coordinates of all 10 atoms:
I (0.281, 0.219, 0.500)
I (0.219, 0.719, 0.500)
I (0.719, 0.781, 0.500)
I (0.781, 0.281, 0.500)
Te (0.618, 0.118, 0.000)
Te (0.382, 0.882, 0.000)
Te (0.118, 0.382, 0.000)
Te (0.882, 0.618, 0.000)
Na (0.500, 0.500, 0.000)
Na (0.000, 0.000, 0.000)


Entry 4:
Here is a relaxed NaTeI6 crystal from Alexandria. Energies are from GGA-PBE.

* total magnetization: 0.001 μB per atom
* calculated total energy: -0.14505 Ry per atom
* calculated density: 4.41 g cm⁻³
* space group: P-1, No. 2

abc: 7.768 7.765 7.921
angles: 60.83 61.16 60.13
Fractional coordinates of all 8 atoms:
Na (0.500, 0.500, 0.500)
I (0.048, 0.419, 0.751)
I (0.780, 0.049, 0.750)
I (0.583, 0.218, 0.248)
I (0.417, 0.782, 0.752)
I (0.952, 0.581, 0.249)
I (0.220, 0.951, 0.250)
Te (0.000, 0.000, 0.000)


| no. | formation energy without anion corrections (eV per atom) |
| --- | --- |
| 1 | -0.43 |
| 2 | -0.11 |
| 3 | -0.16 |
| 4 | -0.25 |